# 1
## CuAgAu (GGA-PBE)

Data for an optimized crystal structure of CuAgAu.

Theoretical density ... 11.10 g/cm³
Offset from the most stable computed form ... 194 meV/atom
Volume ... 220.5 Å³/cell

a = 6.0410 Å, b = 6.0410 Å, c = 6.0410 Å
α = 90.00°, β = 90.00°, γ = 90.00°
Closest atoms and distances in Å follow each position.
Element x y z (fractional)
Cu 0.0000 0.0000 0.0000  4 Au 2.62, 4 Ag 2.62
Cu 0.0000 0.5000 0.5000  4 Ag 2.62, 4 Au 2.62
Cu 0.5000 0.0000 0.5000  4 Ag 2.62, 4 Au 2.62
Cu 0.5000 0.5000 0.0000  4 Ag 2.62, 4 Au 2.62
Ag 0.2500 0.2500 0.7500  4 Cu 2.62
Ag 0.2500 0.7500 0.2500  4 Cu 2.62
Ag 0.7500 0.2500 0.2500  4 Cu 2.62
Ag 0.7500 0.7500 0.7500  4 Cu 2.62
Au 0.2500 0.2500 0.2500  4 Cu 2.62
Au 0.2500 0.7500 0.7500  4 Cu 2.62
Au 0.7500 0.2500 0.7500  4 Cu 2.62
Au 0.7500 0.7500 0.2500  4 Cu 2.62

# 2
## CuAgAu (GGA-PBE)

Data for an optimized crystal structure of CuAgAu.

Theoretical density ... 12.55 g/cm³
Offset from the most stable computed form ... 62 meV/atom
Volume ... 48.7 Å³/cell

a = 4.4656 Å, b = 4.4656 Å, c = 2.8219 Å
α = 90.00°, β = 90.00°, γ = 120.00°
Closest atoms and distances in Å follow each position.
Element x y z (fractional)
Cu 0.0000 0.0000 0.0000  3 Au 2.66, 3 Ag 2.75, 2 Cu 2.82
Ag 0.3333 0.6667 0.3360  3 Cu 2.75, 2 Ag 2.82, 6 Au 2.85-3.03
Au 0.6667 0.3333 0.7698  3 Cu 2.66, 2 Au 2.82, 3 Ag 2.85

# 3
## CuAg2Au (GGA-PBE)

Data for an optimized crystal structure of CuAg2Au.

Theoretical density ... 11.80 g/cm³
Offset from the most stable computed form ... 81 meV/atom
Volume ... 201.1 Å³/cell

a = 2.9407 Å, b = 2.9407 Å, c = 26.8516 Å
α = 90.00°, β = 90.00°, γ = 120.00°
Closest atoms and distances in Å follow each position.
Element x y z (fractional)
Cu 0.0000 0.0000 0.0000  3 Au 2.68, 3 Ag 2.70, 6 Cu 2.94
Cu 0.3333 0.6667 0.6667  3 Au 2.68, 3 Ag 2.70, 6 Cu 2.94
Cu 0.6667 0.3333 0.3333  3 Au 2.68, 3 Ag 2.70, 6 Cu 2.94
Ag 0.0000 0.0000 0.2551  3 Cu 2.70, 9 Ag 2.93-2.94
Ag 0.0000 0.0000 0.4997  9 Ag 2.93-2.94, 3 Au 2.94
Ag 0.3333 0.6667 0.1664  9 Ag 2.93-2.94, 3 Au 2.94
Ag 0.3333 0.6667 0.9218  3 Cu 2.70, 9 Ag 2.93-2.94
Ag 0.6667 0.3333 0.5884  3 Cu 2.70, 9 Ag 2.93-2.94
Ag 0.6667 0.3333 0.8331  9 Ag 2.93-2.94, 3 Au 2.94
Au 0.0000 0.0000 0.7439  3 Cu 2.68, 3 Ag 2.94, 6 Au 2.94
Au 0.3333 0.6667 0.4105  3 Cu 2.68, 3 Ag 2.94, 6 Au 2.94
Au 0.6667 0.3333 0.0772  3 Cu 2.68, 3 Ag 2.94, 6 Au 2.94

# 4
## CuAg6Au (GGA-PBE)

Data for an optimized crystal structure of CuAg6Au.

Theoretical density ... 10.35 g/cm³
Volume ... 145.7 Å³/cell

a = 5.2346 Å, b = 5.2757 Å, c = 5.3024 Å
α = 92.37°, β = 93.09°, γ = 94.09°
Closest atoms and distances in Å follow each position.
Element x y z (fractional)
Cu 0.0000 0.0000 0.0000  6 Ag 2.72-2.75
Ag 0.0352 0.7517 0.4393  1 Cu 2.72, 6 Ag 2.73-2.99, 1 Au 2.86
Ag 0.2503 0.5605 0.9632  6 Ag 2.71-2.99, 1 Cu 2.75, 1 Au 2.86
Ag 0.4461 0.0334 0.7500  6 Ag 2.72-2.98, 1 Cu 2.74, 1 Au 2.85
Ag 0.5539 0.9666 0.2500  6 Ag 2.72-2.98, 1 Cu 2.74, 1 Au 2.85
Ag 0.7497 0.4395 0.0368  6 Ag 2.71-2.99, 1 Cu 2.75, 1 Au 2.86
Ag 0.9648 0.2483 0.5607  1 Cu 2.72, 6 Ag 2.73-2.99, 1 Au 2.86
Au 0.5000 0.5000 0.5000  12 Ag 2.85-3.11

# 5
## CuAgAu2 (GGA-PBE)

Data for an optimized crystal structure of CuAgAu2.

Theoretical density ... 14.03 g/cm³
Offset from the most stable computed form ... 43 meV/atom
Volume ... 66.9 Å³/cell

a = 2.8695 Å, b = 4.7159 Å, c = 4.9433 Å
α = 90.00°, β = 90.01°, γ = 90.00°
Closest atoms and distances in Å follow each position.
Element x y z (fractional)
Cu 0.0000 0.0000 0.0000  8 Au 2.84-2.87, 2 Cu 2.87, 2 Ag 2.91
Ag 0.9981 0.5000 0.3443  8 Au 2.81-2.91, 2 Ag 2.87, 2 Cu 2.91
Au 0.4981 0.5000 0.8555  4 Ag 2.81-2.91, 4 Cu 2.85, 4 Au 2.87-2.93
Au 0.4987 0.0000 0.5034  4 Cu 2.84-2.87, 4 Ag 2.87, 4 Au 2.87-2.93

# 6
## CuAgAu2 (GGA-PBE)

Data for an optimized crystal structure of CuAgAu2.

Theoretical density ... 14.07 g/cm³
Offset from the most stable computed form ... 44 meV/atom
Volume ... 133.4 Å³/cell

a = 4.0335 Å, b = 4.0335 Å, c = 8.2027 Å
α = 90.00°, β = 90.00°, γ = 90.00°
Closest atoms and distances in Å follow each position.
Element x y z (fractional)
Cu 0.0000 0.0000 0.0000  8 Au 2.85-2.88, 4 Ag 2.88
Cu 0.5000 0.5000 0.5000  8 Au 2.85-2.88, 4 Ag 2.88
Ag 0.0000 0.5000 0.7500  8 Au 2.85-2.88, 4 Cu 2.88
Ag 0.5000 0.0000 0.2500  8 Au 2.85-2.88, 4 Cu 2.88
Au 0.0000 0.0000 0.5000  4 Cu 2.85, 4 Au 2.88, 4 Ag 2.88
Au 0.0000 0.5000 0.2500  4 Ag 2.85, 4 Au 2.88, 4 Cu 2.88
Au 0.5000 0.0000 0.7500  4 Ag 2.85, 4 Cu 2.88, 4 Au 2.88
Au 0.5000 0.5000 0.0000  4 Cu 2.85, 4 Au 2.88, 4 Ag 2.88

# 7
## Cu6AgAu12 (GGA-PBE)

Data for an optimized crystal structure of Cu6AgAu12.

Theoretical density ... 14.66 g/cm³
Offset from the most stable computed form ... 123 meV/atom
Volume ... 323.2 Å³/cell

a = 7.4878 Å, b = 7.4878 Å, c = 7.4878 Å
α = 109.47°, β = 109.47°, γ = 109.47°
Closest atoms and distances in Å follow each position.
Element x y z (fractional)
Cu 0.1361 0.5000 0.6361  1 Cu 2.35, 2 Au 2.51
Cu 0.3639 0.8639 0.5000  1 Cu 2.35, 2 Au 2.51
Cu 0.5000 0.3639 0.8639  1 Cu 2.35, 2 Au 2.51
Cu 0.5000 0.6361 0.1361  1 Cu 2.35, 2 Au 2.51
Cu 0.6361 0.1361 0.5000  1 Cu 2.35, 2 Au 2.51
Cu 0.8639 0.5000 0.3639  1 Cu 2.35, 2 Au 2.51
Ag 0.0000 0.0000 0.0000  12 Au 2.84
Au 0.0945 0.2749 0.8196  3 Cu 2.51-2.76
Au 0.1804 0.4553 0.2749  3 Cu 2.51-2.76
Au 0.1804 0.9055 0.7251  3 Cu 2.51-2.76
Au 0.2749 0.1804 0.4553  3 Cu 2.51-2.76
Au 0.2749 0.8196 0.0945  3 Cu 2.51-2.76
Au 0.4553 0.2749 0.1804  3 Cu 2.51-2.76
Au 0.5447 0.7251 0.8196  3 Cu 2.51-2.76
Au 0.7251 0.1804 0.9055  3 Cu 2.51-2.76
Au 0.7251 0.8196 0.5447  3 Cu 2.51-2.76
Au 0.8196 0.0945 0.2749  3 Cu 2.51-2.76
Au 0.8196 0.5447 0.7251  3 Cu 2.51-2.76
Au 0.9055 0.7251 0.1804  3 Cu 2.51-2.76

# 8
## Cu2Ag2Au7 (GGA-PBE)

Data for an optimized crystal structure of Cu2Ag2Au7.

Theoretical density ... 14.76 g/cm³
Offset from the most stable computed form ... 0 meV/atom
Volume ... 193.7 Å³/cell

a = 7.4612 Å, b = 7.4612 Å, c = 7.4612 Å
α = 145.08°, β = 67.45°, γ = 124.30°
Closest atoms and distances in Å follow each position.
Element x y z (fractional)
Cu 0.0000 0.0000 0.0000  7 Au 2.70-2.78, 2 Ag 2.87
Cu 0.6902 0.1902 0.5000  8 Au 2.60-2.89
Ag 0.3991 0.1961 0.2030  9 Au 2.78-2.96, 1 Cu 2.87
Ag 0.9931 0.1961 0.7970  9 Au 2.78-2.96, 1 Cu 2.87
Au 0.1150 0.4901 0.6249  3 Cu 2.60-2.72, 2 Ag 2.83
Au 0.2708 0.9108 0.3599  1 Cu 2.61, 3 Ag 2.78-2.80, 2 Au 2.84
Au 0.3983 0.3983 0.0000  3 Cu 2.78-3.03, 6 Au 2.84-2.86, 2 Ag 2.89
Au 0.5509 0.9108 0.6401  1 Cu 2.61, 3 Ag 2.78-2.80, 2 Au 2.84
Au 0.5676 0.7146 0.8531  3 Cu 2.70-2.89, 4 Au 2.86-2.98, 2 Ag 2.92
Au 0.8615 0.7146 0.1469  3 Cu 2.70-2.89, 4 Au 2.86-2.98, 2 Ag 2.92
Au 0.8653 0.4901 0.3751  3 Cu 2.60-2.72, 2 Ag 2.83

# 9
## CuAg2Au5 (GGA-PBE)

Data for an optimized crystal structure of CuAg2Au5.

Theoretical density ... 14.45 g/cm³
Offset from the most stable computed form ... 121 meV/atom
Volume ... 290.5 Å³/cell

a = 7.5285 Å, b = 7.5285 Å, c = 7.5285 Å
α = 122.30°, β = 122.30°, γ = 86.07°
Closest atoms and distances in Å follow each position.
Element x y z (fractional)
Cu 0.2500 0.2500 0.0000  10 Au 2.75-2.91
Cu 0.7500 0.7500 0.0000  10 Au 2.75-2.91
Ag 0.1443 0.6443 0.7886  8 Au 2.79-2.83, 1 Ag 2.97
Ag 0.3557 0.1443 0.5000  8 Au 2.79-2.83, 1 Ag 2.97
Ag 0.6443 0.8557 0.5000  8 Au 2.79-2.83, 1 Ag 2.97
Ag 0.8557 0.3557 0.2114  8 Au 2.79-2.83, 1 Ag 2.97
Au 0.0000 0.0000 0.0000  2 Cu 2.75, 4 Ag 2.79
Au 0.0157 0.8186 0.5000  3 Au 2.73-2.86, 3 Ag 2.79-2.83, 2 Cu 2.91
Au 0.1814 0.6814 0.1971  3 Au 2.73-2.86, 3 Ag 2.79-2.83, 2 Cu 2.91
Au 0.3186 0.5157 0.5000  3 Au 2.73-2.86, 3 Ag 2.79-2.83, 2 Cu 2.91
Au 0.4843 0.9843 0.8029  3 Au 2.73-2.86, 3 Ag 2.79-2.83, 2 Cu 2.91
Au 0.5000 0.5000 0.0000  2 Cu 2.75, 4 Ag 2.79
Au 0.5157 0.0157 0.1971  3 Au 2.73-2.86, 3 Ag 2.79-2.83, 2 Cu 2.91
Au 0.6814 0.4843 0.5000  3 Au 2.73-2.86, 3 Ag 2.79-2.83, 2 Cu 2.91
Au 0.8186 0.3186 0.8029  3 Au 2.73-2.86, 3 Ag 2.79-2.83, 2 Cu 2.91
Au 0.9843 0.1814 0.5000  3 Au 2.73-2.86, 3 Ag 2.79-2.83, 2 Cu 2.91

# 10
## CuAg8Au2 (GGA-PBE)

Data for an optimized crystal structure of CuAg8Au2.

Theoretical density ... 10.23 g/cm³
Offset from the most stable computed form ... 30 meV/atom
Volume ... 214.2 Å³/cell

a = 7.1453 Å, b = 7.1453 Å, c = 4.9834 Å
α = 103.11°, β = 103.11°, γ = 60.78°
Closest atoms and distances in Å follow each position.
Element x y z (fractional)
Cu 0.0000 0.0000 0.0000  2 Au 2.55, 6 Ag 2.66-2.69
Ag 0.2242 0.2242 0.0750  1 Cu 2.69, 2 Au 2.80, 4 Ag 2.85-2.94
Ag 0.2398 0.6260 0.2024  1 Cu 2.66, 4 Ag 2.79-2.93, 1 Au 2.81
Ag 0.3526 0.3526 0.6537  1 Au 2.81, 8 Ag 2.90-3.03
Ag 0.3740 0.7602 0.7976  1 Cu 2.66, 4 Ag 2.79-2.93, 1 Au 2.81
Ag 0.6260 0.2398 0.2024  1 Cu 2.66, 4 Ag 2.79-2.93, 1 Au 2.81
Ag 0.6474 0.6474 0.3463  1 Au 2.81, 8 Ag 2.90-3.03
Ag 0.7602 0.3740 0.7976  1 Cu 2.66, 4 Ag 2.79-2.93, 1 Au 2.81
Ag 0.7758 0.7758 0.9250  1 Cu 2.69, 2 Au 2.80, 4 Ag 2.85-2.94
Au 0.1162 0.1162 0.5051  1 Cu 2.55, 5 Ag 2.80-2.81, 1 Au 2.85
Au 0.8838 0.8838 0.4949  1 Cu 2.55, 5 Ag 2.80-2.81, 1 Au 2.85

# 11
## Cu2AgAu9 (GGA-PBE)

Data for an optimized crystal structure of Cu2AgAu9.

Theoretical density ... 16.18 g/cm³
Volume ... 206.1 Å³/cell

a = 4.0945 Å, b = 4.0945 Å, c = 12.2935 Å
α = 90.00°, β = 90.00°, γ = 90.00°
Closest atoms and distances in Å follow each position.
Element x y z (fractional)
Cu 0.0000 0.0000 0.1640  12 Au 2.85-2.90
Cu 0.0000 0.0000 0.8360  12 Au 2.85-2.90
Ag 0.0000 0.0000 0.5000  12 Au 2.90-2.96
Au 0.0000 0.5000 0.0000  8 Au 2.86-2.90, 4 Cu 2.87
Au 0.0000 0.5000 0.3257  2 Cu 2.85, 8 Au 2.86-2.96, 2 Ag 2.96
Au 0.0000 0.5000 0.6743  2 Cu 2.85, 8 Au 2.86-2.96, 2 Ag 2.96
Au 0.5000 0.0000 0.0000  8 Au 2.86-2.90, 4 Cu 2.87
Au 0.5000 0.0000 0.3257  2 Cu 2.85, 8 Au 2.86-2.96, 2 Ag 2.96
Au 0.5000 0.0000 0.6743  2 Cu 2.85, 8 Au 2.86-2.96, 2 Ag 2.96
Au 0.5000 0.5000 0.1630  8 Au 2.86, 4 Cu 2.90
Au 0.5000 0.5000 0.5000  4 Ag 2.90, 8 Au 2.96
Au 0.5000 0.5000 0.8370  8 Au 2.86, 4 Cu 2.90

# 12
## CuAgAu (GGA-PBE)

Data for an optimized crystal structure of CuAgAu.

Theoretical density ... 12.70 g/cm³
Offset from the most stable computed form ... 11 meV/atom
Volume ... 192.6 Å³/cell

a = 2.8463 Å, b = 14.7501 Å, c = 4.5886 Å
α = 90.00°, β = 90.00°, γ = 90.00°
Closest atoms and distances in Å follow each position.
Element x y z (fractional)
Cu 0.0000 0.0559 0.2500  6 Au 2.70-2.77, 2 Ag 2.78, 4 Cu 2.83-2.85
Cu 0.0000 0.9441 0.7500  6 Au 2.70-2.77, 2 Ag 2.78, 4 Cu 2.83-2.85
Cu 0.5000 0.4441 0.7500  6 Au 2.70-2.77, 2 Ag 2.78, 4 Cu 2.83-2.85
Cu 0.5000 0.5559 0.2500  6 Au 2.70-2.77, 2 Ag 2.78, 4 Cu 2.83-2.85
Ag 0.0000 0.2823 0.7500  2 Cu 2.78, 6 Ag 2.85-2.86, 4 Au 2.88-3.05
Ag 0.0000 0.7177 0.2500  2 Cu 2.78, 6 Ag 2.85-2.86, 4 Au 2.88-3.05
Ag 0.5000 0.2177 0.2500  2 Cu 2.78, 6 Ag 2.85-2.86, 4 Au 2.88-3.05
Ag 0.5000 0.7823 0.7500  2 Cu 2.78, 6 Ag 2.85-2.86, 4 Au 2.88-3.05
Au 0.0000 0.4007 0.2500  6 Cu 2.70-2.77, 2 Au 2.85, 2 Ag 2.88
Au 0.0000 0.5993 0.7500  6 Cu 2.70-2.77, 2 Au 2.85, 2 Ag 2.88
Au 0.5000 0.0993 0.7500  6 Cu 2.70-2.77, 2 Au 2.85, 2 Ag 2.88
Au 0.5000 0.9007 0.2500  6 Cu 2.70-2.77, 2 Au 2.85, 2 Ag 2.88

Number 1: calculated total energy -38.79 eV per cell. Number 2: calculated total energy -10.10 eV per cell. Number 3: calculated total energy -38.37 eV per cell. Number 4: calculated total energy -23.53 eV per cell. Number 5: calculated total energy -13.53 eV per cell. Number 6: calculated total energy -27.05 eV per cell. Number 7: calculated total energy -64.77 eV per cell. Number 8: calculated total energy -36.42 eV per cell. Number 9: calculated total energy -50.84 eV per cell. Number 10: calculated total energy -31.81 eV per cell. Number 11: calculated total energy -40.70 eV per cell. Number 12: calculated total energy -41.00 eV per cell.